1.
# ScCd2B (PBE, relaxed)
data_ScCd2B
_space_group_name_H-M_alt 'F -4 3 m'
_space_group_IT_number 216
_space_group_name_Hall 'F -4 2 3'
_cell_length_a 6.572
_cell_length_b 6.572
_cell_length_c 6.572
_cell_angle_alpha 90.00
_cell_angle_beta 90.00
_cell_angle_gamma 90.00
loop_
_atom_site_label
_atom_site_fract_x
_atom_site_fract_y
_atom_site_fract_z
Sc1 0.000 0.000 0.000
Cd1 0.000 0.000 0.500
Cd2 0.250 0.250 0.250
B1 0.250 0.250 0.750
# Crystal system   cubic
# E   -0.24004 Ry per atom

2.
# Sc4CdB3 (PBE, relaxed)
data_Sc4CdB3
_space_group_name_H-M_alt 'P 63/m m c'
_space_group_IT_number 194
_space_group_name_Hall '-P 6c 2c'
_cell_length_a 3.2937
_cell_length_b 3.2937
_cell_length_c 29.1991
_cell_angle_alpha 90.00
_cell_angle_beta 90.00
_cell_angle_gamma 120.00
loop_
_atom_site_label
_atom_site_fract_x
_atom_site_fract_y
_atom_site_fract_z
Sc1 0.0000 0.0000 0.1587
Sc2 0.3333 0.6667 0.0542
Cd1 0.3333 0.6667 0.2500
B1 0.0000 0.0000 0.0000
B2 0.3333 0.6667 0.6106
# Crystal system   hexagonal
# E   -0.42398 Ry per atom

3.
# CdSi2B (PBE, relaxed)
data_CdSi2B
_space_group_name_H-M_alt 'F -4 3 m'
_space_group_IT_number 216
_space_group_name_Hall 'F -4 2 3'
_cell_length_a 6.277
_cell_length_b 6.277
_cell_length_c 6.277
_cell_angle_alpha 90.00
_cell_angle_beta 90.00
_cell_angle_gamma 90.00
loop_
_atom_site_label
_atom_site_fract_x
_atom_site_fract_y
_atom_site_fract_z
Cd1 0.000 0.000 0.000
Si1 0.000 0.000 0.500
Si2 0.250 0.250 0.250
B1 0.250 0.250 0.750
# Crystal system   cubic
# E   -0.25459 Ry per atom

4.
# Cd2Si3B2 (PBE, relaxed)
data_Cd2Si3B2
_space_group_name_H-M_alt 'R 3 m'
_space_group_IT_number 160
_space_group_name_Hall 'R 3 -2"'
_cell_length_a 3.8804
_cell_length_b 3.8804
_cell_length_c 25.3588
_cell_angle_alpha 90.00
_cell_angle_beta 90.00
_cell_angle_gamma 120.00
loop_
_atom_site_label
_atom_site_fract_x
_atom_site_fract_y
_atom_site_fract_z
Cd1 0.0000 0.0000 0.0000
Cd2 0.0000 0.0000 0.4076
Si1 0.0000 0.0000 0.2675
Si2 0.0000 0.0000 0.5490
Si3 0.0000 0.0000 0.8204
B1 0.0000 0.0000 0.1856
B2 0.0000 0.0000 0.7416
# Crystal system   trigonal
# E   -0.27861 Ry per atom

5.
# CdSiB4 (PBE, relaxed)
data_CdSiB4
_space_group_name_H-M_alt 'P 6/m m m'
_space_group_IT_number 191
_space_group_name_Hall '-P 6 2'
_cell_length_a 2.9641
_cell_length_b 2.9641
_cell_length_c 8.6255
_cell_angle_alpha 90.00
_cell_angle_beta 90.00
_cell_angle_gamma 120.00
loop_
_atom_site_label
_atom_site_fract_x
_atom_site_fract_y
_atom_site_fract_z
Cd1 0.0000 0.0000 0.0000
Si1 0.0000 0.0000 0.5000
B1 0.3333 0.6667 0.3217
# Distance to the lowest polymorph of the same formula   0.000 eV per atom
# Crystal system   hexagonal

6.
# CdSiB4 (PBE, relaxed)
data_CdSiB4
_space_group_name_H-M_alt 'I m m m'
_space_group_IT_number 71
_space_group_name_Hall '-I 2 2'
_cell_length_a 3.080
_cell_length_b 5.397
_cell_length_c 7.311
_cell_angle_alpha 90.00
_cell_angle_beta 90.00
_cell_angle_gamma 90.00
loop_
_atom_site_label
_atom_site_fract_x
_atom_site_fract_y
_atom_site_fract_z
Cd1 0.000 0.000 0.000
Si1 0.000 0.000 0.500
B1 0.000 0.334 0.243
# Distance to the lowest polymorph of the same formula   0.147 eV per atom
# Crystal system   orthorhombic

7.
# SmCdB4 (PBE, relaxed)
data_SmCdB4
_space_group_name_H-M_alt 'P 6/m m m'
_space_group_IT_number 191
_space_group_name_Hall '-P 6 2'
_cell_length_a 3.2227
_cell_length_b 3.2227
_cell_length_c 7.9166
_cell_angle_alpha 90.00
_cell_angle_beta 90.00
_cell_angle_gamma 120.00
loop_
_atom_site_label
_atom_site_fract_x
_atom_site_fract_y
_atom_site_fract_z
Sm1 0.0000 0.0000 0.0000
Cd1 0.0000 0.0000 0.5000
B1 0.3333 0.6667 0.2543
# Distance to the lowest polymorph of the same formula   0.114 eV per atom
# Crystal system   hexagonal

8.
# SmCdB4 (PBE, relaxed)
data_SmCdB4
_space_group_name_H-M_alt 'I m m m'
_space_group_IT_number 71
_space_group_name_Hall '-I 2 2'
_cell_length_a 3.206
_cell_length_b 5.455
_cell_length_c 8.324
_cell_angle_alpha 90.00
_cell_angle_beta 90.00
_cell_angle_gamma 90.00
loop_
_atom_site_label
_atom_site_fract_x
_atom_site_fract_y
_atom_site_fract_z
Sm1 0.000 0.000 0.000
Cd1 0.000 0.000 0.500
B1 0.000 0.322 0.259
# Distance to the lowest polymorph of the same formula   0.000 eV per atom
# Crystal system   orthorhombic

9.
# CdSnB (PBE, relaxed)
data_CdSnB
_space_group_name_H-M_alt 'F -4 3 m'
_space_group_IT_number 216
_space_group_name_Hall 'F -4 2 3'
_cell_length_a 6.164
_cell_length_b 6.164
_cell_length_c 6.164
_cell_angle_alpha 90.00
_cell_angle_beta 90.00
_cell_angle_gamma 90.00
loop_
_atom_site_label
_atom_site_fract_x
_atom_site_fract_y
_atom_site_fract_z
Cd1 0.000 0.000 0.000
Sn1 0.000 0.000 0.500
B1 0.250 0.250 0.250
# Distance to the lowest polymorph of the same formula   0.000 eV per atom
# Crystal system   cubic

10.
# CdSnB4 (PBE, relaxed)
data_CdSnB4
_space_group_name_H-M_alt 'I m m m'
_space_group_IT_number 71
_space_group_name_Hall '-I 2 2'
_cell_length_a 3.115
_cell_length_b 5.412
_cell_length_c 8.528
_cell_angle_alpha 90.00
_cell_angle_beta 90.00
_cell_angle_gamma 90.00
loop_
_atom_site_label
_atom_site_fract_x
_atom_site_fract_y
_atom_site_fract_z
Cd1 0.000 0.000 0.000
Sn1 0.000 0.000 0.500
B1 0.000 0.334 0.252
# Distance to the lowest polymorph of the same formula   0.017 eV per atom
# Crystal system   orthorhombic

11.
# Cd2Sn3B2 (PBE, relaxed)
data_Cd2Sn3B2
_space_group_name_H-M_alt 'R 3 m'
_space_group_IT_number 160
_space_group_name_Hall 'R 3 -2"'
_cell_length_a 3.9654
_cell_length_b 3.9654
_cell_length_c 32.9659
_cell_angle_alpha 90.00
_cell_angle_beta 90.00
_cell_angle_gamma 120.00
loop_
_atom_site_label
_atom_site_fract_x
_atom_site_fract_y
_atom_site_fract_z
Cd1 0.0000 0.0000 0.0000
Cd2 0.0000 0.0000 0.3914
Sn1 0.0000 0.0000 0.2738
Sn2 0.0000 0.0000 0.5267
Sn3 0.0000 0.0000 0.7856
B1 0.0000 0.0000 0.2045
B2 0.0000 0.0000 0.7101
# Crystal system   trigonal
# E   -0.24062 Ry per atom

12.
# CdSnB2 (PBE, relaxed)
data_CdSnB2
_space_group_name_H-M_alt 'F -4 3 m'
_space_group_IT_number 216
_space_group_name_Hall 'F -4 2 3'
_cell_length_a 6.471
_cell_length_b 6.471
_cell_length_c 6.471
_cell_angle_alpha 90.00
_cell_angle_beta 90.00
_cell_angle_gamma 90.00
loop_
_atom_site_label
_atom_site_fract_x
_atom_site_fract_y
_atom_site_fract_z
Cd1 0.000 0.000 0.000
Sn1 0.250 0.250 0.750
B1 0.000 0.000 0.500
B2 0.250 0.250 0.250
# Crystal system   cubic
# E   -0.20862 Ry per atom

13.
# CdSnB4 (PBE, relaxed)
data_CdSnB4
_space_group_name_H-M_alt 'P 6/m m m'
_space_group_IT_number 191
_space_group_name_Hall '-P 6 2'
_cell_length_a 3.1005
_cell_length_b 3.1005
_cell_length_c 8.6849
_cell_angle_alpha 90.00
_cell_angle_beta 90.00
_cell_angle_gamma 120.00
loop_
_atom_site_label
_atom_site_fract_x
_atom_site_fract_y
_atom_site_fract_z
Cd1 0.0000 0.0000 0.0000
Sn1 0.0000 0.0000 0.5000
B1 0.3333 0.6667 0.2353
# Distance to the lowest polymorph of the same formula   0.000 eV per atom
# Crystal system   hexagonal

14.
# Tm4CdSnB2 (PBE, relaxed)
data_Tm4CdSnB2
_space_group_name_H-M_alt 'P -6 m 2'
_space_group_IT_number 187
_space_group_name_Hall 'P -6 2'
_cell_length_a 3.5975
_cell_length_b 3.5975
_cell_length_c 16.3764
_cell_angle_alpha 90.00
_cell_angle_beta 90.00
_cell_angle_gamma 120.00
loop_
_atom_site_label
_atom_site_fract_x
_atom_site_fract_y
_atom_site_fract_z
Tm1 0.0000 0.0000 0.1561
Tm2 0.3333 0.6667 0.3384
Cd1 0.0000 0.0000 0.5000
Sn1 0.3333 0.6667 0.0000
B1 0.6667 0.3333 0.2485
# Crystal system   hexagonal
# E   -0.34423 Ry per atom

15.
# SrCdB (PBE, relaxed)
data_SrCdB
_space_group_name_H-M_alt 'F -4 3 m'
_space_group_IT_number 216
_space_group_name_Hall 'F -4 2 3'
_cell_length_a 6.765
_cell_length_b 6.765
_cell_length_c 6.765
_cell_angle_alpha 90.00
_cell_angle_beta 90.00
_cell_angle_gamma 90.00
loop_
_atom_site_label
_atom_site_fract_x
_atom_site_fract_y
_atom_site_fract_z
Sr1 0.000 0.000 0.000
Cd1 0.250 0.250 0.750
B1 0.000 0.000 0.500
# Distance to the lowest polymorph of the same formula   0.442 eV per atom
# Crystal system   cubic

16.
# SrCdB (PBE, relaxed)
data_SrCdB
_space_group_name_H-M_alt 'F -4 3 m'
_space_group_IT_number 216
_space_group_name_Hall 'F -4 2 3'
_cell_length_a 7.016
_cell_length_b 7.016
_cell_length_c 7.016
_cell_angle_alpha 90.00
_cell_angle_beta 90.00
_cell_angle_gamma 90.00
loop_
_atom_site_label
_atom_site_fract_x
_atom_site_fract_y
_atom_site_fract_z
Sr1 0.000 0.000 0.000
Cd1 0.250 0.250 0.250
B1 0.250 0.250 0.750
# Distance to the lowest polymorph of the same formula   0.690 eV per atom
# Crystal system   cubic

17.
# Sr2CdB (PBE, relaxed)
data_Sr2CdB
_space_group_name_H-M_alt 'F -4 3 m'
_space_group_IT_number 216
_space_group_name_Hall 'F -4 2 3'
_cell_length_a 7.440
_cell_length_b 7.440
_cell_length_c 7.440
_cell_angle_alpha 90.00
_cell_angle_beta 90.00
_cell_angle_gamma 90.00
loop_
_atom_site_label
_atom_site_fract_x
_atom_site_fract_y
_atom_site_fract_z
Sr1 0.000 0.000 0.000
Sr2 0.250 0.250 0.250
Cd1 0.250 0.250 0.750
B1 0.000 0.000 0.500
# Crystal system   cubic
# E   -0.14606 Ry per atom

18.
# SrCdB (PBE, relaxed)
data_SrCdB
_space_group_name_H-M_alt 'F -4 3 m'
_space_group_IT_number 216
_space_group_name_Hall 'F -4 2 3'
_cell_length_a 6.562
_cell_length_b 6.562
_cell_length_c 6.562
_cell_angle_alpha 90.00
_cell_angle_beta 90.00
_cell_angle_gamma 90.00
loop_
_atom_site_label
_atom_site_fract_x
_atom_site_fract_y
_atom_site_fract_z
Sr1 0.000 0.000 0.000
Cd1 0.000 0.000 0.500
B1 0.250 0.250 0.750
# Distance to the lowest polymorph of the same formula   0.000 eV per atom
# Crystal system   cubic

19.
# Ta4CdB3 (PBE, relaxed)
data_Ta4CdB3
_space_group_name_H-M_alt 'P 63/m m c'
_space_group_IT_number 194
_space_group_name_Hall '-P 6c 2c'
_cell_length_a 3.2734
_cell_length_b 3.2734
_cell_length_c 24.8717
_cell_angle_alpha 90.00
_cell_angle_beta 90.00
_cell_angle_gamma 120.00
loop_
_atom_site_label
_atom_site_fract_x
_atom_site_fract_y
_atom_site_fract_z
Ta1 0.0000 0.0000 0.1529
Ta2 0.3333 0.6667 0.0512
Cd1 0.3333 0.6667 0.2500
B1 0.0000 0.0000 0.0000
B2 0.3333 0.6667 0.6068
# Crystal system   hexagonal
# E   -0.65955 Ry per atom

20.
# Ta2CdB (PBE, relaxed)
data_Ta2CdB
_space_group_name_H-M_alt 'F -4 3 m'
_space_group_IT_number 216
_space_group_name_Hall 'F -4 2 3'
_cell_length_a 6.412
_cell_length_b 6.412
_cell_length_c 6.412
_cell_angle_alpha 90.00
_cell_angle_beta 90.00
_cell_angle_gamma 90.00
loop_
_atom_site_label
_atom_site_fract_x
_atom_site_fract_y
_atom_site_fract_z
Ta1 0.000 0.000 0.000
Ta2 0.250 0.250 0.250
Cd1 0.250 0.250 0.750
B1 0.000 0.000 0.500
# Distance to the lowest polymorph of the same formula   1.396 eV per atom
# Crystal system   cubic